[1]
VASP calculation (GGA-PBE) on Tl2SiNi after structural relaxation.

Summary:
DOS(E_F) = 0.78 states/eV per atom
volume = 80.82 Å³/cell
total moment = 0.0 μB per formula unit
ΔE_f (raw) = 0.555 eV per atom
E_tot = -3.43 eV/atom
distance to the lowest polymorph of the same formula = 0.4812 eV per atom
space-group type = No. 123

Unit cell a=3.1657 b=3.1655 c=8.0650 alpha=90.00 beta=90.00 gamma=90.00
Fractional coordinates of all 4 atoms:
Tl 0.0000 0.0000 0.4665
Tl 0.0000 0.0000 0.0335
Si 0.5000 0.5000 0.7500
Ni 0.5000 0.5000 0.2500

[2]
VASP calculation (GGA-PBE) on TlSi2Ni after structural relaxation.

Summary:
DOS(E_F) = 0.43 states/eV per atom
volume = 68.63 Å³/cell
total moment = 0.0 μB per formula unit
ΔE_f (raw) = 0.628 eV per atom
E_tot = -4.12 eV/atom
space-group type = No. 216

Unit cell a=4.5955 b=4.5955 c=4.5955 alpha=60.00 beta=60.00 gamma=60.00
Fractional coordinates of all 4 atoms:
Tl 0.7500 0.7500 0.7500
Ni 0.5000 0.5000 0.5000
Si 0.0000 0.0000 0.0000
Si 0.2500 0.2500 0.2500

[3]
VASP calculation (GGA-PBE) on TlSi2Ni after structural relaxation.

Summary:
DOS(E_F) = 0.36 states/eV per atom
volume = 78.83 Å³/cell
total moment = 0.0 μB per formula unit
ΔE_f (raw) = -0.040 eV per atom
E_tot = -4.79 eV/atom
space-group type = No. 166

Unit cell a=3.8443 b=3.8443 c=6.5446 alpha=72.90 beta=72.90 gamma=60.06
Fractional coordinates of all 4 atoms:
Si 0.5478 0.5478 0.3573
Si 0.9522 0.9522 0.1427
Tl 0.7500 0.7500 0.7500
Ni 0.2500 0.2500 0.2500

[4]
VASP calculation (GGA-PBE) on TlSi2Ni after structural relaxation.

Summary:
DOS(E_F) = 0.31 states/eV per atom
volume = 69.41 Å³/cell
total moment = 0.0 μB per formula unit
ΔE_f (raw) = 0.265 eV per atom
E_tot = -4.48 eV/atom
space-group type = No. 160

Unit cell a=7.9398 b=7.9398 c=7.9398 alpha=23.42 beta=23.42 gamma=23.42
Fractional coordinates of all 4 atoms:
Ni 0.7331 0.7331 0.7331
Si 0.2650 0.2650 0.2650
Si 0.0082 0.0082 0.0082
Tl 0.4937 0.4937 0.4937

Copy entry 1 word for word.
VASP calculation (GGA-PBE) on Tl2SiNi after structural relaxation.

Summary:
DOS(E_F) = 0.78 states/eV per atom
volume = 80.82 Å³/cell
total moment = 0.0 μB per formula unit
ΔE_f (raw) = 0.555 eV per atom
E_tot = -3.43 eV/atom
distance to the lowest polymorph of the same formula = 0.4812 eV per atom
space-group type = No. 123

Unit cell a=3.1657 b=3.1655 c=8.0650 alpha=90.00 beta=90.00 gamma=90.00
Fractional coordinates of all 4 atoms:
Tl 0.0000 0.0000 0.4665
Tl 0.0000 0.0000 0.0335
Si 0.5000 0.5000 0.7500
Ni 0.5000 0.5000 0.2500